GGA-PBE MgGaI2O, optimized geometry; relative energy among the computed polymorphs = 0.00 eV/f.u.
1.0
-4.525 4.045 0.136
-0.906 -1.212 5.879
2.456 2.716 0.938
Mg O Ga I
1 1 1 2
Cartesian
0.000 0.000 0.000 Mg
1.228 1.358 0.469 O
-1.488 2.774 3.477 Ga
-2.263 2.022 0.068 I
-0.453 -0.606 2.940 I

---

GGA-PBE MgGaI2O, optimized geometry; relative energy among the computed polymorphs = 0.68 eV/f.u.
1.0
5.841 0.000 0.000
0.000 5.841 0.000
0.000 0.000 3.697
I O Ga Mg
2 1 1 1
Cartesian
2.921 0.000 0.000 I
0.000 2.921 0.000 I
0.000 0.000 1.848 O
0.000 0.000 0.000 Ga
2.921 2.921 1.848 Mg

---

Compound: MgGa2PbI
Source: Alexandria
Functional: GGA-PBE
Structure: optimized geometry

```
MgGa2PbI
1.0
6.022 0.000 0.000
0.000 5.555 0.000
0.000 0.000 6.022
Mg Ga I Pb
1 2 1 1
Cartesian
0.000 2.777 0.000 Mg
3.011 0.000 0.000 Ga
0.000 0.000 3.011 Ga
0.000 0.000 0.000 I
3.011 2.777 3.011 Pb
```

---

Compound: MgGa2PdI
Source: Alexandria
Functional: GGA-PBE
Structure: optimized geometry

```
MgGa2PdI
1.0
-2.667 -2.484 3.288
-3.003 -1.951 -3.910
3.042 -3.829 -0.426
Mg Pd I Ga
1 1 1 2
Cartesian
-1.502 -0.975 -1.955 Mg
0.000 0.000 0.000 Pd
-1.314 -4.132 -0.524 I
1.521 -1.915 -0.213 Ga
-1.333 -1.242 1.644 Ga
```

---

Compound: Rb2MgGaI6
Source: Alexandria
Functional: GGA-PBE
Structure: optimized geometry

```
Rb2MgGaI6
1.0
-5.982 -5.540 1.786
3.104 -5.202 -5.741
2.045 -7.813 2.118
Mg I Ga Rb
1 6 1 2
Cartesian
-1.439 -5.371 -1.978 Mg
0.296 -6.587 0.061 I
-1.128 -11.969 -1.899 I
0.826 -5.287 -3.854 I
-0.722 -2.694 -0.992 I
-2.156 -8.048 -2.964 I
-3.703 -5.455 -0.102 I
0.000 0.000 0.000 Ga
-2.688 -9.362 0.963 Rb
1.855 -9.193 -2.800 Rb
```

---

Compound: Rb2MgGaI5
Source: Alexandria
Functional: GGA-PBE
Structure: optimized geometry

```
Rb2MgGaI5
1.0
4.650 0.000 0.000
-2.325 10.333 0.000
0.000 0.000 16.779
I Rb Ga Mg
10 4 2 2
Cartesian
0.000 1.847 1.217 I
2.325 2.936 8.159 I
0.000 10.287 12.963 I
2.325 0.046 4.573 I
2.325 5.003 2.547 I
0.000 7.397 16.548 I
2.325 4.067 15.349 I
0.000 6.266 6.959 I
2.325 8.486 9.606 I
0.000 5.330 10.936 I
2.325 7.425 13.386 Rb
2.325 8.623 2.455 Rb
0.000 2.908 4.997 Rb
0.000 1.710 10.844 Rb
0.000 9.324 7.569 Ga
2.325 1.009 15.959 Ga
2.325 5.695 8.908 Mg
0.000 4.637 0.519 Mg
```

---

Number 1: formation energy (no corrections) -0.665 eV/atom. Number 2: formation energy (no corrections) -0.529 eV/atom. Number 3: formation energy (no corrections) 0.569 eV/atom. Number 4: formation energy (no corrections) -0.327 eV/atom. Number 5: formation energy (no corrections) -0.955 eV/atom. Number 6: formation energy (no corrections) -1.044 eV/atom.